! Nd3Ho2Cd6 PBE-GGA optimized geometry; values from VASP
&SYSTEM
  ibrav = 0, nat = 11, ntyp = 3
/
ATOMIC_SPECIES
Nd 144.24 Nd.upf
Ho 164.93 Ho.upf
Cd 112.41 Cd.upf
ATOMIC_POSITIONS angstrom
Nd 0.0000 0.0000 0.0000
Nd 2.1376 2.1376 11.3549
Nd 0.0000 0.0000 6.5611
Ho 0.0000 0.0000 13.1075
Ho 2.1376 2.1376 4.8085
Cd 0.0000 2.1376 2.4974
Cd 2.1376 0.0000 2.4974
Cd 2.1376 0.0000 15.4186
Cd 0.0000 2.1376 15.4186
Cd 2.1376 2.1376 8.0576
Cd 0.0000 0.0000 9.8583
CELL_PARAMETERS angstrom
4.2752 0.0000 0.0000
0.0000 4.2752 0.0000
-2.1376 -2.1376 17.9159
! Magnetization = 0.00 μB per formula unit
! Calculated total energy = -0.193 Ry per atom

---

! LiNd3Rh2 PBE-GGA optimized geometry; values from VASP
&SYSTEM
  ibrav = 0, nat = 12, ntyp = 3
/
ATOMIC_SPECIES
Li 6.94 Li.upf
Nd 144.24 Nd.upf
Rh 102.91 Rh.upf
ATOMIC_POSITIONS angstrom
Li 4.1882 5.4367 6.7731
Li 4.1882 5.0480 3.9261
Nd 2.0941 2.9668 7.8617
Nd 6.2822 7.5179 2.8375
Nd 6.2822 8.0227 10.4156
Nd 2.0941 2.4621 0.2836
Nd 6.2822 7.9553 6.6009
Nd 2.0941 2.5294 4.0983
Rh 6.2822 5.7579 8.6041
Rh 2.0941 4.7269 2.0952
Rh 4.1882 2.8858 6.0018
Rh 4.1882 7.5989 4.6974
CELL_PARAMETERS angstrom
4.1882 0.0000 0.0000
2.0941 7.9355 0.6666
2.0941 2.5493 10.0326
! Magnetization = 0.00 μB per formula unit
! Calculated total energy = -0.406 Ry per atom

---

! Pr2Pu3ThTe6 PBE-GGA optimized geometry; values from VASP
&SYSTEM
  ibrav = 0, nat = 12, ntyp = 4
/
ATOMIC_SPECIES
Pr 140.91 Pr.upf
Pu 244.00 Pu.upf
Th 232.04 Th.upf
Te 127.60 Te.upf
ATOMIC_POSITIONS angstrom
Pr 2.2147 4.2251 6.4521
Pr 0.0000 2.1004 3.2088
Pu 2.2147 4.4994 0.1318
Pu 2.2147 -0.2810 6.3002
Pu 0.0000 6.6064 3.3606
Th 2.2147 0.0000 0.0000
Te 0.0000 6.5245 6.4830
Te 2.2147 4.4078 3.2578
Te 2.2147 -0.1990 3.1779
Te 2.2147 -0.3792 9.4172
Te 0.0000 6.7046 0.2437
Te 0.0000 1.9177 6.4031
CELL_PARAMETERS angstrom
4.4293 0.0000 0.0000
0.0000 8.9989 0.2636
-2.2147 -2.6734 9.3973
! Formation energy (no corrections) = -1208 meV/atom
! Magnetization = 17.65 μB per formula unit
! Calculated total energy = -0.572 Ry per atom

---

! Sc2Ta2Re PBE-GGA optimized geometry; values from VASP
&SYSTEM
  ibrav = 0, nat = 10, ntyp = 3
/
ATOMIC_SPECIES
Sc 44.96 Sc.upf
Re 186.21 Re.upf
Ta 180.95 Ta.upf
ATOMIC_POSITIONS angstrom
Sc 1.0974 4.3751 2.4221
Sc 4.3751 5.4579 2.4221
Sc 5.4579 2.1802 2.4221
Sc 2.1802 1.0974 2.4221
Re 0.0000 0.0000 0.0000
Re 3.2777 3.2777 0.0000
Ta 2.3236 5.6013 0.0000
Ta 5.6013 4.2318 0.0000
Ta 4.2318 0.9541 0.0000
Ta 0.9541 2.3236 0.0000
CELL_PARAMETERS angstrom
6.5554 0.0000 0.0000
0.0000 6.5554 0.0000
0.0000 0.0000 4.8442
! Magnetization = 0.00 μB per formula unit
! Calculated total energy = -0.704 Ry per atom
! Excess energy over the best structure of this formula in the dataset = 0 meV per atom

---

! YBeAl2Ru2 PBE-GGA optimized geometry; values from VASP
&SYSTEM
  ibrav = 0, nat = 6, ntyp = 4
/
ATOMIC_SPECIES
Y 88.91 Y.upf
Be 9.01 Be.upf
Al 26.98 Al.upf
Ru 101.07 Ru.upf
ATOMIC_POSITIONS angstrom
Y 0.0000 0.0000 2.6944
Be 0.0000 0.0000 0.0000
Al 2.1556 2.1556 4.0343
Al 2.1556 2.1556 1.3544
Ru 2.1556 0.0000 0.0000
Ru 0.0000 2.1556 0.0000
CELL_PARAMETERS angstrom
4.3112 0.0000 0.0000
0.0000 4.3112 0.0000
0.0000 0.0000 5.3887
! Magnetization = 0.00 μB per formula unit
! Calculated total energy = -0.480 Ry per atom

---

! Ca2PCl PBE-GGA optimized geometry; values from VASP
&SYSTEM
  ibrav = 0, nat = 4, ntyp = 3
/
ATOMIC_SPECIES
Ca 40.08 Ca.upf
Cl 35.45 Cl.upf
P 30.97 P.upf
ATOMIC_POSITIONS angstrom
Ca 0.6052 -3.9092 5.9434
Ca 0.4313 -2.6136 3.2630
Cl -1.4764 -2.0118 1.1950
P -0.8781 -5.2831 3.7182
CELL_PARAMETERS angstrom
-3.5512 -0.7523 -0.1332
0.7586 -3.2912 -1.6369
0.4381 -3.2515 6.6833
! Formation energy (no corrections) = -1453 meV/atom
! Magnetization = 0.00 μB per formula unit
! Calculated total energy = -0.314 Ry per atom

---

! Cs2CuTeS4 PBE-GGA optimized geometry; values from VASP
&SYSTEM
  ibrav = 0, nat = 16, ntyp = 4
/
ATOMIC_SPECIES
Cs 132.91 Cs.upf
Cu 63.55 Cu.upf
Te 127.60 Te.upf
S 32.06 S.upf
ATOMIC_POSITIONS angstrom
Cs -7.8296 -3.4187 -1.0579
Cs -5.7034 -1.2035 -4.6407
Cs -9.9869 -7.1164 -5.7365
Cs -2.4647 -2.8597 -7.6443
Cu -6.2258 -4.9880 -6.6904
Cu 0.0000 0.0000 0.0000
Te -5.2547 -5.4505 -3.8931
Te -0.9711 0.4624 -2.7973
S -0.0968 -4.9935 -5.5551
S -10.3804 -5.9227 -2.1386
S -10.5042 -8.8255 -9.1035
S -1.9796 -1.1353 -4.3699
S -4.0765 -5.8108 -6.0203
S -7.4361 -4.6124 -4.6558
S -7.2021 -6.6011 -8.1705
S -4.2462 -3.8528 -2.3205
CELL_PARAMETERS angstrom
-1.9423 0.9249 -5.5946
2.0525 -5.8163 -4.8850
-11.5906 -5.5471 -0.1040
! Formation energy (no corrections) = -442 meV/atom
! Magnetization = 0.96 μB per formula unit
! Calculated total energy = -0.266 Ry per atom

---

! Y2CoAgB PBE-GGA optimized geometry; values from VASP
&SYSTEM
  ibrav = 0, nat = 5, ntyp = 4
/
ATOMIC_SPECIES
Y 88.91 Y.upf
B 10.81 B.upf
Co 58.93 Co.upf
Ag 107.87 Ag.upf
ATOMIC_POSITIONS angstrom
Y 0.0000 2.5568 0.0000
Y 2.5568 0.0000 0.0000
B 0.0000 0.0000 0.0000
Co 0.0000 0.0000 1.8744
Ag 2.5568 2.5568 1.8744
CELL_PARAMETERS angstrom
5.1137 0.0000 0.0000
0.0000 5.1137 0.0000
0.0000 0.0000 3.7488
! Magnetization = 0.00 μB per formula unit
! Calculated total energy = -0.453 Ry per atom

---

! SrLi2Sn2Au2 PBE-GGA optimized geometry; values from VASP
&SYSTEM
  ibrav = 0, nat = 7, ntyp = 4
/
ATOMIC_SPECIES
Sr 87.62 Sr.upf
Li 6.94 Li.upf
Sn 118.71 Sn.upf
Au 196.97 Au.upf
ATOMIC_POSITIONS angstrom
Sr 0.0000 0.0000 0.0000
Li 2.2971 1.3262 5.0786
Li 6.8912 3.9786 3.7948
Sn 6.8912 3.9786 6.6856
Sn 2.2970 1.3262 2.1878
Au 4.5941 2.6524 2.9591
Au 4.5941 2.6524 5.9143
CELL_PARAMETERS angstrom
4.5941 0.0000 0.0000
2.2971 3.9786 0.0000
2.2971 1.3262 8.8734
! Magnetization = 0.00 μB per formula unit
! Calculated total energy = -0.250 Ry per atom

---

! Er2TmTl6 PBE-GGA optimized geometry; values from VASP
&SYSTEM
  ibrav = 0, nat = 18, ntyp = 3
/
ATOMIC_SPECIES
Er 167.26 Er.upf
Tm 168.93 Tm.upf
Tl 204.38 Tl.upf
ATOMIC_POSITIONS angstrom
Er 1.5317 -9.2760 2.1507
Er 1.6976 -4.5010 0.6314
Er -2.0228 -5.0725 2.3984
Er -2.1887 -9.8476 3.9178
Tm 4.2674 -6.6002 2.5869
Tm -4.7585 -7.7484 1.9622
Tl -1.4226 -8.0641 1.4332
Tl -0.5266 -6.2759 -0.9857
Tl 0.9315 -6.2845 3.1159
Tl 0.0355 -8.0727 5.5348
Tl 0.1935 -3.2807 4.0195
Tl 0.7666 -11.0772 4.6281
Tl -0.6846 -11.0678 0.5296
Tl -1.2577 -3.2714 -0.0790
Tl -3.7438 -5.9315 -0.3971
Tl -3.0027 -8.9299 -1.3181
Tl 3.2527 -8.4171 4.9463
Tl 2.5116 -5.4186 5.8672
CELL_PARAMETERS angstrom
-2.5259 -0.6088 5.7498
-4.0925 -7.4253 -2.9040
6.1274 -6.3144 1.7033
! Magnetization = 0.00 μB per formula unit
! Calculated total energy = -0.238 Ry per atom

---

! AlFeRh2 PBE-GGA optimized geometry; values from VASP
&SYSTEM
  ibrav = 0, nat = 4, ntyp = 3
/
ATOMIC_SPECIES
Rh 102.91 Rh.upf
Fe 55.84 Fe.upf
Al 26.98 Al.upf
ATOMIC_POSITIONS angstrom
Rh 0.0000 0.0000 0.0327
Rh 0.0000 0.0000 3.0227
Fe 1.4885 1.4885 4.5831
Al 1.4885 1.4885 1.5277
CELL_PARAMETERS angstrom
2.9770 0.0000 0.0000
0.0000 2.9770 0.0000
0.0000 0.0000 6.1108
! Magnetization = 4.09 μB per formula unit
! Calculated total energy = -0.537 Ry per atom